DFT (PBE) results for a relaxed structure of Li3TmHg4.

Unit cell a=4.8579 b=4.8579 c=8.4605 alpha=73.32 beta=73.32 gamma=60.00
Fractional positions:
Hg: 0.8720 0.8720 0.3839
Li: 0.5000 0.5000 0.5000
Hg: 0.3818 0.3818 0.8546
Li: 0.2479 0.2479 0.2564
Tm: 0.0000 0.0000 0.0000
Hg: 0.6182 0.6182 0.1454
Li: 0.7521 0.7521 0.7436
Hg: 0.1280 0.1280 0.6161

DFT formation energy: -376 meV/atom
Calculated volume: 163.1 Å³ per cell
Total magnetization: 0.000 μB per atom
Fermi-level density of states: 3.45 states/eV/f.u.